{"formula": "CrMo4W2", "functional": "PBE", "state": "relaxed", "dos_at_fermi_per_ev_cell": 5.8, "total_energy_ev_per_cell": -76.04, "mass_density_g_cm3": 12.03, "sg": "C2/m", "e_form_mev_per_atom": 402.6, "lattice_angstrom": [[2.5686, 0.0000, 0.5564], [0.6289, 6.1966, 3.3038], [-0.2032, 0.4269, 7.1447]], "species": ["Cr", "Mo", "Mo", "Mo", "Mo", "W", "W"], "fractional_positions": [[0.0000, 0.0000, 0.0000], [0.0720, 0.2876, 0.5684], [0.9280, 0.7124, 0.4316], [0.3620, 0.4099, 0.8661], [0.6380, 0.5901, 0.1339], [0.2134, 0.8551, 0.7181], [0.7866, 0.1449, 0.2819]]}



{"formula": "CdPt3S", "functional": "PBE", "state": "relaxed", "dos_at_fermi_per_ev_cell": 1.6, "total_energy_ev_per_cell": -22.35, "mass_density_g_cm3": 12.90, "formation_energy_uncorrected_ev_per_atom": 0.16, "sg": "Pm-3m", "de_polymorph_kj_per_mol_fu": 0, "lattice_angstrom": [[4.5460, 0.0000, 0.0000], [0.0000, 4.5460, 0.0000], [0.0000, 0.0000, 4.5460]], "species": ["S", "Pt", "Pt", "Pt", "Cd"], "fractional_positions": [[0.0000, 0.0000, 0.0000], [0.0000, 0.5000, 0.0000], [0.0000, 0.0000, 0.5000], [0.5000, 0.0000, 0.0000], [0.5000, 0.5000, 0.5000]]}



{"formula": "Rb3Na4Tl2", "functional": "PBE", "state": "relaxed", "dos_at_fermi_per_ev_cell": 4.1, "total_energy_ev_per_cell": -13.10, "mass_density_g_cm3": 2.92, "sg": "C2/m", "de_polymorph_kj_per_mol_fu": 0, "e_form_mev_per_atom": -21.2, "lattice_angstrom": [[4.8972, 0.0000, 0.0000], [-2.4486, 8.6582, -0.1070], [0.0000, -4.0021, 10.1903]], "species": ["Rb", "Rb", "Rb", "Na", "Na", "Na", "Na", "Tl", "Tl"], "fractional_positions": [[0.3737, 0.7474, 0.6086], [0.0000, 0.0000, 0.0000], [0.6263, 0.2526, 0.3914], [0.6797, 0.3594, 0.0038], [0.1209, 0.2418, 0.7106], [0.8791, 0.7582, 0.2894], [0.3203, 0.6406, 0.9962], [0.2414, 0.4828, 0.2252], [0.7586, 0.5172, 0.7748]]}



{"formula": "TaReRh", "functional": "PBE", "state": "relaxed", "dos_at_fermi_per_ev_cell": 1.6, "total_energy_ev_per_cell": -32.25, "mass_density_g_cm3": 16.57, "sg": "I4mm", "de_polymorph_kj_per_mol_fu": 0, "e_form_mev_per_atom": -200.5, "lattice_angstrom": [[5.6326, -2.8770, -1.3366], [4.1648, -4.5795, 1.8634], [-5.8304, 2.4248, -1.3842]], "species": ["Ta", "Re", "Rh"], "fractional_positions": [[0.3308, 0.3308, 0.0000], [0.0104, 0.0104, 0.0000], [0.6588, 0.6588, 0.0000]]}



{"formula": "SrPt4Se8", "functional": "PBE", "state": "relaxed", "dos_at_fermi_per_ev_cell": 8.4, "total_energy_ev_per_cell": -60.50, "mass_density_g_cm3": 6.87, "formation_energy_uncorrected_ev_per_atom": -0.52, "sg": "R-3m", "lattice_angstrom": [[6.9384, 0.0000, 3.1642], [2.7477, 6.3712, 3.1642], [0.3474, 0.2285, 8.4277]], "species": ["Sr", "Pt", "Pt", "Pt", "Pt", "Se", "Se", "Se", "Se", "Se", "Se", "Se", "Se"], "fractional_positions": [[0.5000, 0.5000, 0.5000], [0.0000, 0.5000, 0.0000], [0.5000, 0.5000, 0.0000], [0.5000, 0.0000, 0.0000], [0.0000, 0.0000, 0.0000], [0.7212, 0.2294, 0.8201], [0.7706, 0.2788, 0.1799], [0.2788, 0.7706, 0.1799], [0.7706, 0.7706, 0.1799], [0.7276, 0.7276, 0.8173], [0.2724, 0.2724, 0.1827], [0.2294, 0.2294, 0.8201], [0.2294, 0.7212, 0.8201]]}



{"formula": "Dy3Y6HoTh2", "functional": "PBE", "state": "relaxed", "dos_at_fermi_per_ev_cell": 17.1, "total_energy_ev_per_cell": -71.70, "mass_density_g_cm3": 7.14, "sg": "C2/m", "e_form_mev_per_atom": 25.3, "lattice_angstrom": [[6.1755, 0.0012, 0.0036], [-3.0852, 5.3496, 0.0036], [-1.0378, -1.7970, 11.6088]], "species": ["Dy", "Dy", "Dy", "Y", "Y", "Y", "Y", "Y", "Y", "Ho", "Th", "Th"], "fractional_positions": [[0.1664, 0.8336, 0.5000], [0.8336, 0.1664, 0.5000], [0.5000, 0.5000, 0.5000], [0.9171, 0.5806, 0.7523], [0.7462, 0.7462, 0.2480], [0.0829, 0.4194, 0.2477], [0.5806, 0.9171, 0.7523], [0.2538, 0.2538, 0.7520], [0.4194, 0.0829, 0.2477], [0.0000, 0.0000, 0.0000], [0.3334, 0.6666, 0.0000], [0.6666, 0.3334, 0.0000]]}



Repeat the sixth record exactly.
{"formula": "Dy3Y6HoTh2", "functional": "PBE", "state": "relaxed", "dos_at_fermi_per_ev_cell": 17.1, "total_energy_ev_per_cell": -71.70, "mass_density_g_cm3": 7.14, "sg": "C2/m", "e_form_mev_per_atom": 25.3, "lattice_angstrom": [[6.1755, 0.0012, 0.0036], [-3.0852, 5.3496, 0.0036], [-1.0378, -1.7970, 11.6088]], "species": ["Dy", "Dy", "Dy", "Y", "Y", "Y", "Y", "Y", "Y", "Ho", "Th", "Th"], "fractional_positions": [[0.1664, 0.8336, 0.5000], [0.8336, 0.1664, 0.5000], [0.5000, 0.5000, 0.5000], [0.9171, 0.5806, 0.7523], [0.7462, 0.7462, 0.2480], [0.0829, 0.4194, 0.2477], [0.5806, 0.9171, 0.7523], [0.2538, 0.2538, 0.7520], [0.4194, 0.0829, 0.2477], [0.0000, 0.0000, 0.0000], [0.3334, 0.6666, 0.0000], [0.6666, 0.3334, 0.0000]]}



Number 6 is which compound? Dy3Y6HoTh2